This record from Alexandria via LeMat-Bulk describes crystalline AlRh5 at its relaxed geometry. The functional is PBE-GGA.

Summary:
SG: No. 191
Crystal system: hexagonal
Formation enthalpy at 0 K (eV/atom): 0.222
Total moment (μB per formula unit): 0.00

Cell and atoms, written as POSCAR:
```
AlRh5
1.0
2.502 -4.333 0.000
2.502 4.333 0.000
0.000 0.000 4.475
Al Rh
1 5
Cartesian
0.000 0.000 0.000
2.502 1.444 0.000
2.502 -1.444 0.000
1.251 -2.166 2.238
1.251 2.166 2.238
2.502 0.000 2.238
```

=====

This record from Alexandria via LeMat-Bulk describes crystalline Th7Tl2Ni2 at its relaxed geometry. The functional is PBE-GGA.

Summary:
SG: No. 44
Crystal system: orthorhombic
Formation enthalpy at 0 K (eV/atom): -0.165
Total moment (μB per formula unit): 0.00

Cell and atoms, written as POSCAR:
```
Th7Tl2Ni2
1.0
3.662 0.000 0.000
1.831 9.805 -0.094
1.831 4.567 8.677
Th Tl Ni
7 2 2
Cartesian
3.662 1.985 2.421
5.492 8.270 7.683
3.662 4.775 8.329
3.662 5.651 2.267
3.662 9.697 4.683
3.662 11.299 7.984
1.831 3.686 4.946
1.831 8.514 2.068
3.662 6.481 5.472
5.492 11.520 5.823
1.831 3.783 1.202
```

=====

This record from Alexandria via LeMat-Bulk describes crystalline DyCuAg2 at its relaxed geometry. The functional is PBE-GGA.

Summary:
SG: No. 123
Crystal system: tetragonal
Formation enthalpy at 0 K (eV/atom): -0.088
Energy above the most stable polymorph in this dataset (meV/atom): 155
Total moment (μB per formula unit): 0.00

Cell and atoms, written as POSCAR:
```
DyCuAg2
1.0
-2.274 2.522 -0.568
-2.431 -2.343 -0.672
-1.677 -0.081 6.352
Cu Ag Dy
1 2 1
Cartesian
-2.353 0.089 -0.620
-1.324 -0.064 5.013
-0.354 -0.017 1.339
-3.191 0.049 2.556
```

=====

This record from Alexandria via LeMat-Bulk describes crystalline AlCoCu2Mo at its relaxed geometry. The functional is PBE-GGA.

Summary:
SG: No. 123
Crystal system: tetragonal
Formation enthalpy at 0 K (eV/atom): 1.125
Total moment (μB per formula unit): 0.00

Cell and atoms, written as POSCAR:
```
AlCoCu2Mo
1.0
-3.581 -1.761 1.423
1.593 -3.816 -0.715
1.594 -0.070 3.925
Mo Co Al Cu
1 1 1 2
Cartesian
-0.197 -2.824 2.317
0.796 -1.908 -0.357
0.000 0.000 0.000
0.797 -0.035 1.962
-1.791 -0.880 0.712
```

=====

This record from Alexandria via LeMat-Bulk describes crystalline AlZnRe at its relaxed geometry. The functional is PBE-GGA.

Summary:
SG: No. 216
Crystal system: cubic
Formation enthalpy at 0 K (eV/atom): 0.724
Energy above the most stable polymorph in this dataset (meV/atom): 718
Total moment (μB per formula unit): 1.15

Cell and atoms, written as POSCAR:
```
AlZnRe
1.0
-0.133 -0.232 -4.121
-3.604 -0.626 -1.918
-1.733 3.046 -2.185
Re Zn Al
1 1 1
Cartesian
-2.735 1.094 -4.112
-4.103 1.641 -6.168
0.000 0.000 0.000
```

=====

This record from Alexandria via LeMat-Bulk describes crystalline Tc3W2 at its relaxed geometry. The functional is PBE-GGA.

Summary:
SG: No. 43
Crystal system: orthorhombic
Formation enthalpy at 0 K (eV/atom): 0.142
Energy above the most stable polymorph in this dataset (meV/atom): 0
Total moment (μB per formula unit): 0.00

Cell and atoms, written as POSCAR:
```
Tc3W2
1.0
-3.696 -4.998 -5.200
-5.997 -0.438 -3.625
1.997 -0.902 -4.875
Tc W
6 4
Cartesian
-2.477 -2.704 -7.129
-5.275 -2.972 -7.169
-6.706 -5.183 -11.333
-4.894 -3.662 -9.815
-3.715 -4.773 -5.403
-1.943 -1.359 -3.629
-4.132 -2.199 -4.853
-3.491 -5.027 -8.047
-7.270 -4.254 -8.688
-0.505 -1.142 -5.862
```

=====

This record from Alexandria via LeMat-Bulk describes crystalline La2DyZn at its relaxed geometry. The functional is PBE-GGA.

Summary:
SG: No. 139
Crystal system: tetragonal
Formation enthalpy at 0 K (eV/atom): -0.156
Energy above the most stable polymorph in this dataset (meV/atom): 0
Total moment (μB per formula unit): 0.00

Cell and atoms, written as POSCAR:
```
La2DyZn
1.0
-1.412 2.473 4.378
-2.940 -4.095 1.364
9.029 -2.710 1.327
La Dy Zn
4 2 2
Cartesian
-1.470 -2.048 0.682
-0.706 1.236 2.189
4.888 -2.512 2.995
-0.212 -1.821 4.075
2.080 -1.069 1.274
2.597 -3.264 5.796
1.956 -3.808 2.782
2.720 -0.524 4.289
```

=====

This record from Alexandria via LeMat-Bulk describes crystalline TmTh2SbN5 at its relaxed geometry. The functional is PBE-GGA.

Summary:
Formation energy without anion corrections (eV per atom): -0.9884
SG: No. 36
Crystal system: orthorhombic
Total moment (μB per formula unit): 0.00

Cell and atoms, written as POSCAR:
```
TmTh2SbN5
1.0
3.581 0.000 0.000
-1.791 7.099 0.000
0.000 0.000 10.734
Tm Th Sb N
2 4 2 10
Cartesian
1.791 4.044 5.337
0.000 3.055 10.704
1.791 5.099 8.367
0.000 1.778 7.493
0.000 2.000 3.000
1.791 5.322 2.126
1.791 0.216 10.480
0.000 6.883 5.114
0.000 5.270 0.194
1.791 2.803 9.133
0.000 6.978 8.446
0.000 4.056 7.025
1.791 6.366 6.036
1.791 1.829 5.561
0.000 4.296 3.767
1.791 0.121 3.079
1.791 3.043 1.658
0.000 0.733 0.669
```

=====

This record from Alexandria via LeMat-Bulk describes crystalline Re2TeRh at its relaxed geometry. The functional is PBE-GGA.

Summary:
Formation energy without anion corrections (eV per atom): 0.4660
SG: No. 12
Crystal system: monoclinic
Total moment (μB per formula unit): 0.00

Cell and atoms, written as POSCAR:
```
Re2TeRh
1.0
1.532 4.844 0.008
-1.532 4.844 0.008
0.000 0.336 4.575
Re Te Rh
2 1 1
Cartesian
0.000 2.903 3.264
0.000 7.120 1.326
0.000 4.844 0.008
0.000 0.168 2.288
```

=====

This record from Alexandria via LeMat-Bulk describes crystalline La12TmMg3 at its relaxed geometry. The functional is PBE-GGA.

Summary:
SG: No. 123
Crystal system: tetragonal
Formation enthalpy at 0 K (eV/atom): -0.016
Total moment (μB per formula unit): 0.00

Cell and atoms, written as POSCAR:
```
La12TmMg3
1.0
5.136 0.000 0.000
0.000 5.136 0.000
0.000 0.000 20.616
La Tm Mg
12 1 3
Cartesian
2.568 2.568 0.000
2.568 2.568 5.166
2.568 2.568 10.308
2.568 2.568 15.450
2.568 0.000 2.608
2.568 0.000 7.745
2.568 0.000 12.871
2.568 0.000 18.008
0.000 2.568 2.608
0.000 2.568 7.745
0.000 2.568 12.871
0.000 2.568 18.008
0.000 0.000 0.000
0.000 0.000 5.203
0.000 0.000 10.308
0.000 0.000 15.413
```

=====

This record from Alexandria via LeMat-Bulk describes crystalline SrPmGaHg at its relaxed geometry. The functional is PBE-GGA.

Summary:
SG: No. 216
Crystal system: cubic
Formation enthalpy at 0 K (eV/atom): -0.449
Total moment (μB per formula unit): 0.00

Cell and atoms, written as POSCAR:
```
SrPmGaHg
1.0
-0.950 -1.707 -5.075
3.723 -2.987 -2.606
-0.933 -5.270 -0.966
Sr Hg Ga Pm
1 1 1 1
Cartesian
0.920 -4.982 -4.323
1.380 -7.474 -6.485
0.460 -2.491 -2.162
0.000 0.000 0.000
```

=====

This record from Alexandria via LeMat-Bulk describes crystalline BePtO at its relaxed geometry. The functional is PBE-GGA.

Summary:
Formation energy without anion corrections (eV per atom): -1.1668
SG: No. 11
Crystal system: monoclinic
Total moment (μB per formula unit): 0.00

Cell and atoms, written as POSCAR:
```
BePtO
1.0
5.260 -0.039 0.002
0.653 4.605 0.000
0.001 0.000 2.752
Be Pt O
2 2 2
Cartesian
2.628 2.894 0.444
1.869 4.449 1.820
4.287 0.219 0.447
4.818 2.479 1.823
1.935 0.054 0.444
1.910 2.683 1.820
```

=====

This record from Alexandria via LeMat-Bulk describes crystalline Ac3Pr5Nd2 at its relaxed geometry. The functional is PBE-GGA.

Summary:
SG: No. 15
Crystal system: monoclinic
Formation enthalpy at 0 K (eV/atom): 0.185
Total moment (μB per formula unit): 0.00

Cell and atoms, written as POSCAR:
```
Ac3Pr5Nd2
1.0
-5.667 9.140 -0.362
2.120 -5.005 -9.476
-4.600 -5.994 5.567
Ac Pr Nd
6 10 4
Cartesian
-1.526 2.218 -0.079
-6.622 -4.077 -4.192
-3.150 0.927 -3.279
-4.998 -2.786 -0.992
-0.795 -3.353 -6.049
-7.353 1.494 1.778
-4.647 -6.021 0.707
-3.500 4.162 -4.978
-6.256 2.464 -4.698
-4.356 0.474 0.208
-1.892 -4.323 0.427
-3.791 -2.333 -4.479
-7.058 0.434 -1.989
-1.089 -2.293 -2.282
-5.256 -1.705 2.772
-2.891 -0.154 -7.043
-8.779 4.299 3.467
0.632 -6.158 -7.738
-3.385 -5.476 -2.700
-4.763 3.618 -1.571
```

=====

This record from Alexandria via LeMat-Bulk describes crystalline Er5Pd2Pt at its relaxed geometry. The functional is PBE-GGA.

Summary:
SG: No. 140
Crystal system: tetragonal
Formation enthalpy at 0 K (eV/atom): -0.804
Total moment (μB per formula unit): 0.00

Cell and atoms, written as POSCAR:
```
Er5Pd2Pt
1.0
-1.276 6.770 -2.320
-2.122 -2.609 -6.445
-5.075 -2.531 6.795
Er Pd Pt
10 4 2
Cartesian
-5.677 -0.033 -0.829
-4.632 2.230 -6.189
0.000 0.000 0.000
-1.699 2.081 -4.382
-3.841 -0.600 4.219
-4.821 2.364 2.019
-4.696 -2.997 1.371
-3.652 -0.734 -3.988
-3.777 4.627 -3.341
-2.797 1.663 -1.140
-0.948 -0.046 -2.669
-1.094 3.943 -2.336
-2.304 0.218 -6.429
-2.451 4.208 -6.096
-5.086 1.856 -3.176
-3.387 -0.225 1.206
```

=====

This record from Alexandria via LeMat-Bulk describes crystalline Fe2CuHg at its relaxed geometry. The functional is PBE-GGA.

Summary:
SG: No. 139
Crystal system: tetragonal
Formation enthalpy at 0 K (eV/atom): 0.330
Energy above the most stable polymorph in this dataset (meV/atom): 68
Total moment (μB per formula unit): 5.17

Cell and atoms, written as POSCAR:
```
Fe2CuHg
1.0
-0.874 -4.179 -2.226
-0.016 -3.758 3.010
-2.165 4.301 0.009
Cu Fe Hg
1 2 1
Cartesian
-1.742 -1.923 -0.913
0.000 0.000 0.000
-0.445 -3.969 0.392
-1.313 -1.713 1.705
```

=====

This record from Alexandria via LeMat-Bulk describes crystalline CdCl2 at its relaxed geometry. The functional is PBE-GGA.

Summary:
Formation energy without anion corrections (eV per atom): -0.0006
SG: No. 191
Crystal system: hexagonal
Total moment (μB per formula unit): 0.00

Cell and atoms, written as POSCAR:
```
CdCl2
1.0
4.920 0.000 0.000
-2.460 4.261 0.000
0.000 0.000 3.307
Cl Cd
2 1
Cartesian
0.000 2.841 1.653
2.460 1.420 1.653
0.000 0.000 0.000
```

=====

This record from Alexandria via LeMat-Bulk describes crystalline Na5Hg6Pd at its relaxed geometry. The functional is PBE-GGA.

Summary:
SG: No. 65
Crystal system: orthorhombic
Formation enthalpy at 0 K (eV/atom): -0.226
Total moment (μB per formula unit): 0.00

Cell and atoms, written as POSCAR:
```
Na5Hg6Pd
1.0
4.753 -0.028 1.584
0.040 7.563 0.013
-0.036 -0.014 8.033
Na Hg Pd
5 6 1
Cartesian
3.201 3.754 6.310
1.555 -0.014 3.256
0.020 3.782 0.007
3.162 -0.028 6.360
1.557 3.768 3.320
4.048 5.750 3.804
4.027 1.757 3.797
2.386 1.682 0.795
2.408 5.854 0.802
0.731 5.764 5.833
0.710 1.771 5.826
0.000 0.000 0.000
```

=====

This record from Alexandria via LeMat-Bulk describes crystalline NaSr2LiNi at its relaxed geometry. The functional is PBE-GGA.

Summary:
SG: No. 123
Crystal system: tetragonal
Formation enthalpy at 0 K (eV/atom): 0.088
Energy above the most stable polymorph in this dataset (meV/atom): 0
Total moment (μB per formula unit): 0.00

Cell and atoms, written as POSCAR:
```
NaSr2LiNi
1.0
-0.342 -4.893 3.132
5.556 0.641 1.608
-1.472 2.675 4.018
Sr Li Na Ni
2 1 1 1
Cartesian
2.778 0.321 0.804
-0.171 -2.446 1.566
-0.736 1.337 2.009
1.871 -0.788 4.379
0.000 0.000 0.000
```

=====

This record from Alexandria via LeMat-Bulk describes crystalline RbNb3V at its relaxed geometry. The functional is PBE-GGA.

Summary:
SG: No. 221
Crystal system: cubic
Formation enthalpy at 0 K (eV/atom): 2.845
Energy above the most stable polymorph in this dataset (meV/atom): 1384
Total moment (μB per formula unit): 2.74

Cell and atoms, written as POSCAR:
```
RbNb3V
1.0
-4.608 -1.105 0.685
-0.244 -1.744 -4.452
1.278 -4.320 1.622
Nb Rb V
3 1 1
Cartesian
-0.122 -0.872 -2.226
0.639 -2.160 0.811
-2.304 -0.553 0.343
0.000 0.000 0.000
-1.787 -3.584 -1.072
```

=====

This record from Alexandria via LeMat-Bulk describes crystalline ReMoIr2 at its relaxed geometry. The functional is PBE-GGA.

Summary:
SG: No. 139
Crystal system: tetragonal
Formation enthalpy at 0 K (eV/atom): -0.226
Energy above the most stable polymorph in this dataset (meV/atom): 104
Total moment (μB per formula unit): 0.00

Cell and atoms, written as POSCAR:
```
ReMoIr2
1.0
4.801 0.001 0.001
1.664 4.503 -0.001
-3.233 -2.252 2.745
Re Mo Ir
1 1 2
Cartesian
0.832 2.252 1.372
2.400 0.001 1.373
6.465 4.504 0.000
3.233 2.252 0.000
```

=====

This record from Alexandria via LeMat-Bulk describes crystalline PrPSe4 at its relaxed geometry. The functional is PBE-GGA.

Summary:
Formation energy without anion corrections (eV per atom): -0.7305
SG: No. 141
Crystal system: tetragonal
Total moment (μB per formula unit): 0.00

Cell and atoms, written as POSCAR:
```
PrPSe4
1.0
-0.487 -7.232 3.129
0.125 6.479 4.510
-6.701 0.713 -4.112
Pr P Se
2 2 8
Cartesian
-0.181 -0.377 3.820
-3.379 3.408 2.109
-3.685 -3.448 1.418
0.000 0.000 0.000
-2.328 1.899 4.430
-4.781 -2.034 0.061
-1.566 -1.766 6.037
-1.232 1.132 1.498
-5.724 1.254 2.273
-2.480 -2.435 3.020
-5.605 -0.700 -2.755
-4.538 2.490 -0.457
```

=====

This record from Alexandria via LeMat-Bulk describes crystalline SrAlO2 at its relaxed geometry. The functional is PBE-GGA.

Summary:
Formation energy without anion corrections (eV per atom): -2.2843
SG: No. 166
Crystal system: trigonal
Total moment (μB per formula unit): 0.00

Cell and atoms, written as POSCAR:
```
SrAlO2
1.0
2.152 0.000 5.972
-1.076 1.864 5.972
-1.076 -1.864 5.972
Sr Al O
1 1 2
Cartesian
0.000 0.000 8.958
0.000 0.000 0.000
0.000 0.000 16.215
0.000 0.000 1.701
```

=====

This record from Alexandria via LeMat-Bulk describes crystalline Sr2VPt at its relaxed geometry. The functional is PBE-GGA.

Summary:
SG: No. 122
Crystal system: tetragonal
Formation enthalpy at 0 K (eV/atom): 0.075
Total moment (μB per formula unit): 3.28

Cell and atoms, written as POSCAR:
```
Sr2VPt
1.0
-9.453 -5.507 2.596
5.342 -9.802 -1.345
-1.419 -7.632 2.991
Sr Pt V
4 2 2
Cartesian
-7.169 -7.493 2.634
-6.076 -13.313 2.395
-3.495 -9.833 2.936
-9.113 -10.950 4.459
0.000 0.000 0.000
-6.463 -10.397 3.106
-2.056 -7.655 0.625
0.934 -12.545 1.136
```

=====

This record from Alexandria via LeMat-Bulk describes crystalline TaTl2 at its relaxed geometry. The functional is PBE-GGA.

Summary:
SG: No. 136
Crystal system: tetragonal
Formation enthalpy at 0 K (eV/atom): 0.738
Energy above the most stable polymorph in this dataset (meV/atom): 270
Total moment (μB per formula unit): 0.00

Cell and atoms, written as POSCAR:
```
TaTl2
1.0
2.951 0.000 0.000
0.000 7.741 0.000
0.000 0.000 7.731
Ta Tl
2 4
Cartesian
0.000 0.000 0.000
1.476 3.870 3.866
0.000 2.031 5.705
0.000 5.710 2.026
1.476 5.901 5.891
1.476 1.840 1.840
```